1.
Pu2VHg | PBE | optimized geometry

a = 3.088 Å, b = 3.088 Å, c = 9.093 Å
α = 90.00°, β = 90.00°, γ = 90.00°
Space group P4/mmm (No. 123)
One atom of each set of equivalent atoms:
1 Pu 0.000 0.000 0.220
2 V 0.500 0.500 0.000
3 Hg 0.500 0.500 0.500

The magnetization is 2.53 μB per atom. The value obtained for the total energy is -37.48 eV for the cell shown. The energy relative to the elements comes out at 14.56 kJ/mol of atoms. The value obtained for the energy above the most stable polymorph in this dataset is 0.0 meV/atom.

2.
FeCoSi2 | PBE | optimized geometry

a = 5.713 Å, b = 5.713 Å, c = 5.713 Å
α = 90.00°, β = 90.00°, γ = 90.00°
Space group F-43m (No. 216)
One atom of each set of equivalent atoms:
1 Fe 0.000 0.000 0.000
2 Co 0.250 0.250 0.750
3 Si 0.000 0.000 0.500
4 Si 0.250 0.250 0.250

The formation energy without anion corrections comes out at 0.071 eV/atom. The magnetization is 0.61 μB per atom. The value obtained for the total energy is -104.52 eV for the cell shown.